# 1
A relaxed Sm4As2S crystal. Source: Alexandria, functional GGA-PBE.

a = 8.740 Å, b = 8.740 Å, c = 8.938 Å
α = 90.00°, β = 90.00°, γ = 90.00°
Space group I-42d (No. 122)
Asymmetric unit:
Sm 0.069 0.691 0.442 (multiplicity 16)
As 0.119 0.750 0.125 (multiplicity 8)
S 0.000 0.000 0.500 (multiplicity 4)

Calculated values
The raw formation energy comes out at -132 kJ/mol of atoms. For the total moment, the calculation gives 0.00 μB per cell. The calculation puts the density of states at the Fermi level at 0.907 states/eV per atom. The total energy is -167.46 eV for the cell shown. The volume comes out at 682.8 Å³/cell.

=====

# 2
A relaxed Sm3AsS2 crystal. Source: Alexandria, functional GGA-PBE.

a = 4.083 Å, b = 5.771 Å, c = 12.254 Å
α = 90.00°, β = 90.00°, γ = 90.00°
Space group Immm (No. 71)
Asymmetric unit:
Sm 0.000 0.000 0.000 (multiplicity 2)
Sm 0.000 0.000 0.332 (multiplicity 4)
As 0.000 0.500 0.000 (multiplicity 2)
S 0.000 0.500 0.334 (multiplicity 4)

Calculated values
The raw formation energy comes out at -182 kJ/mol of atoms. For the total moment, the calculation gives 0.00 μB per cell. The calculation puts the density of states at the Fermi level at 0.359 states/eV per atom. The total energy is -76.72 eV for the cell shown. The volume comes out at 288.7 Å³/cell.

=====

# 3
A relaxed Sm4AsS3 crystal. Source: Alexandria, functional GGA-PBE.

a = 5.747 Å, b = 5.747 Å, c = 5.747 Å
α = 90.00°, β = 90.00°, γ = 90.00°
Space group Pm-3m (No. 221)
Asymmetric unit:
Sm 0.000 0.000 0.000 (multiplicity 1)
Sm 0.000 0.500 0.500 (multiplicity 3)
As 0.500 0.500 0.500 (multiplicity 1)
S 0.000 0.000 0.500 (multiplicity 3)

Calculated values
The raw formation energy comes out at -185 kJ/mol of atoms. For the total moment, the calculation gives 0.00 μB per cell. The calculation puts the density of states at the Fermi level at 0.196 states/eV per atom. The total energy is -51.27 eV for the cell shown. The volume comes out at 189.8 Å³/cell.

=====

# 4
A relaxed Sm6AsS4 crystal. Source: Alexandria, functional GGA-PBE.

a = 4.001 Å, b = 13.116 Å, c = 20.413 Å
α = 90.00°, β = 90.00°, γ = 90.00°
Space group Cmcm (No. 63)
Asymmetric unit:
Sm 0.000 0.000 0.000 (multiplicity 4)
Sm 0.000 0.164 0.250 (multiplicity 4)
Sm 0.000 0.276 0.588 (multiplicity 8)
Sm 0.000 0.446 0.164 (multiplicity 8)
As 0.000 0.171 0.750 (multiplicity 4)
S 0.000 0.085 0.125 (multiplicity 8)
S 0.000 0.359 0.039 (multiplicity 8)

Calculated values
The raw formation energy comes out at -167 kJ/mol of atoms. For the total moment, the calculation gives 0.00 μB per cell. The calculation puts the density of states at the Fermi level at 0.751 states/eV per atom. The total energy is -273.91 eV for the cell shown. The volume comes out at 1071.1 Å³/cell.

=====

# 5
A relaxed Sm8As3S4 crystal. Source: Alexandria, functional GGA-PBE.

a = 11.548 Å, b = 11.563 Å, c = 8.169 Å
α = 90.00°, β = 134.88°, γ = 90.00°
Space group C2/m (No. 12)
Asymmetric unit:
Sm 0.000 0.246 0.000 (multiplicity 4)
Sm 0.000 0.249 0.500 (multiplicity 4)
Sm 0.243 0.000 0.489 (multiplicity 4)
Sm 0.245 0.000 0.997 (multiplicity 4)
As 0.000 0.500 0.500 (multiplicity 2)
As 0.250 0.250 0.000 (multiplicity 4)
S 0.000 0.000 0.000 (multiplicity 2)
S 0.000 0.000 0.500 (multiplicity 2)
S 0.250 0.250 0.500 (multiplicity 4)

Calculated values
The raw formation energy comes out at -163 kJ/mol of atoms. For the total moment, the calculation gives 0.00 μB per cell. The calculation puts the density of states at the Fermi level at 0.426 states/eV per atom. The total energy is -187.12 eV for the cell shown. The volume comes out at 772.9 Å³/cell.

=====

# 6
A relaxed Sm7AsS5 crystal. Source: Alexandria, functional GGA-PBE.

a = 13.151 Å, b = 3.997 Å, c = 23.823 Å
α = 90.00°, β = 90.06°, γ = 90.00°
Space group Cm (No. 8)
Asymmetric unit:
Sm 0.000 0.000 0.000 (multiplicity 2)
Sm 0.000 0.000 0.145 (multiplicity 2)
Sm 0.051 0.500 0.860 (multiplicity 2)
Sm 0.052 0.500 0.285 (multiplicity 2)
Sm 0.099 0.000 0.709 (multiplicity 2)
Sm 0.100 0.000 0.435 (multiplicity 2)
Sm 0.160 0.500 0.572 (multiplicity 2)
Sm 0.218 0.500 0.073 (multiplicity 2)
Sm 0.279 0.000 0.210 (multiplicity 2)
Sm 0.279 0.000 0.936 (multiplicity 2)
Sm 0.327 0.500 0.360 (multiplicity 2)
Sm 0.327 0.500 0.785 (multiplicity 2)
Sm 0.378 0.000 0.645 (multiplicity 2)
Sm 0.379 0.000 0.500 (multiplicity 2)
As 0.381 0.000 0.072 (multiplicity 2)
As 0.497 0.500 0.573 (multiplicity 2)
S 0.138 0.500 0.179 (multiplicity 2)
S 0.138 0.500 0.966 (multiplicity 2)
S 0.189 0.000 0.323 (multiplicity 2)
S 0.189 0.000 0.823 (multiplicity 2)
S 0.240 0.500 0.679 (multiplicity 2)
S 0.241 0.500 0.466 (multiplicity 2)
S 0.413 0.500 0.251 (multiplicity 2)
S 0.413 0.500 0.894 (multiplicity 2)
S 0.465 0.000 0.751 (multiplicity 2)
S 0.466 0.000 0.394 (multiplicity 2)

Calculated values
The raw formation energy comes out at -172 kJ/mol of atoms. For the total moment, the calculation gives 0.00 μB per cell. The calculation puts the density of states at the Fermi level at 0.514 states/eV per atom. The total energy is -325.72 eV for the cell shown. The volume comes out at 1252.2 Å³/cell.

=====

# 7
A relaxed Sm3As2S crystal. Source: Alexandria, functional GGA-PBE.

a = 4.160 Å, b = 5.880 Å, c = 12.418 Å
α = 90.00°, β = 90.00°, γ = 90.00°
Space group Immm (No. 71)
Asymmetric unit:
Sm 0.000 0.000 0.000 (multiplicity 2)
Sm 0.000 0.000 0.334 (multiplicity 4)
As 0.000 0.500 0.333 (multiplicity 4)
S 0.000 0.500 0.000 (multiplicity 2)

Calculated values
The raw formation energy comes out at -167 kJ/mol of atoms. For the total moment, the calculation gives 0.00 μB per cell. The calculation puts the density of states at the Fermi level at 0.252 states/eV per atom. The total energy is -75.92 eV for the cell shown. The volume comes out at 303.8 Å³/cell.

=====

# 8
A relaxed Sm5As2S2 crystal. Source: Alexandria, functional GGA-PBE.

a = 14.518 Å, b = 7.666 Å, c = 7.770 Å
α = 90.00°, β = 90.00°, γ = 90.00°
Space group Cmce (No. 64)
Asymmetric unit:
Sm 0.000 0.000 0.000 (multiplicity 4)
Sm 0.140 0.161 0.347 (multiplicity 16)
As 0.000 0.144 0.644 (multiplicity 8)
S 0.194 0.000 0.000 (multiplicity 8)

Calculated values
The raw formation energy comes out at -137 kJ/mol of atoms. For the total moment, the calculation gives 0.00 μB per cell. The calculation puts the density of states at the Fermi level at 0.772 states/eV per atom. The total energy is -215.72 eV for the cell shown. The volume comes out at 864.7 Å³/cell.

=====

# 9
A relaxed Sm2AsS4 crystal. Source: Alexandria, functional GGA-PBE.

a = 6.596 Å, b = 6.596 Å, c = 7.286 Å
α = 90.00°, β = 90.00°, γ = 90.00°
Space group I4/mmm (No. 139)
Asymmetric unit:
Sm 0.000 0.500 0.250 (multiplicity 4)
As 0.000 0.000 0.000 (multiplicity 2)
S 0.237 0.237 0.500 (multiplicity 8)

Calculated values
The raw formation energy comes out at -117 kJ/mol of atoms. For the total moment, the calculation gives 0.01 μB per cell. The calculation puts the density of states at the Fermi level at 0.410 states/eV per atom. The total energy is -78.24 eV for the cell shown. The volume comes out at 317.0 Å³/cell.

=====

# 10
A relaxed Sm2AsS crystal. Source: Alexandria, functional GGA-PBE.

a = 4.123 Å, b = 5.827 Å, c = 8.226 Å
α = 90.00°, β = 90.00°, γ = 90.00°
Space group Pmmn (No. 59, origin choice 2)
Asymmetric unit:
Sm 0.250 0.250 0.124 (multiplicity 2)
Sm 0.250 0.250 0.626 (multiplicity 2)
As 0.250 0.750 0.628 (multiplicity 2)
S 0.250 0.750 0.123 (multiplicity 2)

Calculated values
The raw formation energy comes out at -174 kJ/mol of atoms. For the total moment, the calculation gives 0.00 μB per cell. The value obtained for the energy above the lowest structure with this stoichiometry is 0 meV/atom. The calculation puts the density of states at the Fermi level at 0.284 states/eV per atom. The total energy is -50.88 eV for the cell shown. The volume comes out at 197.6 Å³/cell.

=====

# 11
A relaxed Sm6AsS5 crystal. Source: Alexandria, functional GGA-PBE.

a = 6.997 Å, b = 12.134 Å, c = 7.019 Å
α = 90.00°, β = 109.34°, γ = 90.00°
Space group C2/m (No. 12)
Asymmetric unit:
Sm 0.247 0.167 0.247 (multiplicity 8)
Sm 0.248 0.000 0.752 (multiplicity 4)
As 0.000 0.500 0.500 (multiplicity 2)
S 0.000 0.000 0.000 (multiplicity 2)
S 0.000 0.167 0.500 (multiplicity 4)
S 0.000 0.335 0.000 (multiplicity 4)

Calculated values
The raw formation energy comes out at -188 kJ/mol of atoms. For the total moment, the calculation gives 0.00 μB per cell. The calculation puts the density of states at the Fermi level at 0.493 states/eV per atom. The total energy is -154.03 eV for the cell shown. The volume comes out at 562.2 Å³/cell.

=====

# 12
A relaxed Sm3As5S12 crystal. Source: Alexandria, functional GGA-PBE.

a = 15.646 Å, b = 15.646 Å, c = 15.646 Å
α = 90.00°, β = 90.00°, γ = 90.00°
Space group Ia-3d (No. 230)
Asymmetric unit:
Sm 0.000 0.250 0.125 (multiplicity 24)
As 0.000 0.000 0.000 (multiplicity 16)
As 0.000 0.250 0.375 (multiplicity 24)
S 0.022 0.062 0.651 (multiplicity 96)

Calculated values
The raw formation energy comes out at -68 kJ/mol of atoms. For the total moment, the calculation gives 0.00 μB per cell. The total energy is -808.77 eV for the cell shown. The volume comes out at 3830.1 Å³/cell.

=====

# 13
A relaxed Sm4AsS2 crystal. Source: Alexandria, functional GGA-PBE.

a = 15.115 Å, b = 4.037 Å, c = 6.860 Å
α = 90.00°, β = 116.21°, γ = 90.00°
Space group C2/m (No. 12)
Asymmetric unit:
Sm 0.127 0.000 0.462 (multiplicity 4)
Sm 0.130 0.500 0.970 (multiplicity 4)
As 0.000 0.000 0.000 (multiplicity 2)
S 0.243 0.500 0.738 (multiplicity 4)

Calculated values
The raw formation energy comes out at -145 kJ/mol of atoms. For the total moment, the calculation gives 0.00 μB per cell. The calculation puts the density of states at the Fermi level at 0.653 states/eV per atom. The total energy is -84.67 eV for the cell shown. The volume comes out at 375.6 Å³/cell.

=====

# 14
A relaxed Sm6SnAs2S3 crystal. Source: Alexandria, functional GGA-PBE.

a = 18.153 Å, b = 4.163 Å, c = 8.338 Å
α = 90.00°, β = 102.83°, γ = 90.00°
Space group C2/m (No. 12)
Asymmetric unit:
Sm 0.000 0.000 0.235 (multiplicity 4)
Sm 0.168 0.500 0.083 (multiplicity 4)
Sm 0.172 0.500 0.586 (multiplicity 4)
Sn 0.000 0.500 0.500 (multiplicity 2)
As 0.167 0.000 0.834 (multiplicity 4)
S 0.000 0.500 0.000 (multiplicity 2)
S 0.167 0.000 0.332 (multiplicity 4)

Calculated values
The raw formation energy comes out at -157 kJ/mol of atoms. For the total moment, the calculation gives 0.00 μB per cell. The calculation puts the density of states at the Fermi level at 0.369 states/eV per atom. The total energy is -147.12 eV for the cell shown. The volume comes out at 614.4 Å³/cell.

=====

# 15
A relaxed Sm3TeAsS crystal. Source: Alexandria, functional GGA-PBE.

a = 8.535 Å, b = 4.370 Å, c = 9.667 Å
α = 90.00°, β = 100.34°, γ = 90.00°
Space group P2_1/m (No. 11)
Asymmetric unit:
Sm 0.076 0.250 0.352 (multiplicity 2)
Sm 0.262 0.250 0.978 (multiplicity 2)
Sm 0.387 0.750 0.628 (multiplicity 2)
Te 0.325 0.750 0.285 (multiplicity 2)
As 0.157 0.250 0.655 (multiplicity 2)
S 0.406 0.750 0.907 (multiplicity 2)

Calculated values
The raw formation energy comes out at -135 kJ/mol of atoms. For the total moment, the calculation gives 0.57 μB per cell. The calculation puts the density of states at the Fermi level at 0.571 states/eV per atom. The total energy is -68.96 eV for the cell shown. The volume comes out at 354.8 Å³/cell.

=====

# 16
A relaxed Sm4TeAsS2 crystal. Source: Alexandria, functional GGA-PBE.

a = 7.225 Å, b = 4.137 Å, c = 7.286 Å
α = 90.00°, β = 108.95°, γ = 90.00°
Space group P2/m (No. 10)
Asymmetric unit:
Sm 0.221 0.000 0.222 (multiplicity 2)
Sm 0.237 0.500 0.763 (multiplicity 2)
Te 0.500 0.500 0.500 (multiplicity 1)
As 0.500 0.000 0.000 (multiplicity 1)
S 0.000 0.000 0.500 (multiplicity 1)
S 0.000 0.500 0.000 (multiplicity 1)

Calculated values
The raw formation energy comes out at -168 kJ/mol of atoms. For the total moment, the calculation gives 0.00 μB per cell. The calculation puts the density of states at the Fermi level at 0.421 states/eV per atom. The total energy is -48.88 eV for the cell shown. The volume comes out at 206.0 Å³/cell.

=====

# 17
A relaxed Sm8Te4AsS3 crystal. Source: Alexandria, functional GGA-PBE.

a = 8.4033 Å, b = 8.4033 Å, c = 21.4189 Å
α = 90.00°, β = 90.00°, γ = 120.00°
Space group R-3m (No. 166, hexagonal axes)
Asymmetric unit:
Sm 0.0000 0.0000 0.2353 (multiplicity 6)
Sm 0.0047 0.5023 0.7635 (multiplicity 18)
Te 0.0000 0.0000 0.0000 (multiplicity 3)
Te 0.0000 0.5000 0.0000 (multiplicity 9)
As 0.0000 0.0000 0.5000 (multiplicity 3)
S 0.0000 0.5000 0.5000 (multiplicity 9)

Calculated values
The raw formation energy comes out at -161 kJ/mol of atoms. For the total moment, the calculation gives 0.00 μB per cell. The calculation puts the density of states at the Fermi level at 0.285 states/eV per atom. The total energy is -282.39 eV for the cell shown. The volume comes out at 1309.9 Å³/cell.